This record from Alexandria via LeMat-Bulk describes crystalline BaZnIn2 at its relaxed geometry. The functional is GGA-PBE.

Cell: 5.4254 5.4254 10.2886 Å, 74.71 74.71 90.00°
Sites, in units of the cell vectors:
In 0.3750 0.5420 0.7500
In 0.2920 0.6250 0.2500
Zn 0.5000 0.5000 0.0000
Ba 0.0000 0.0000 0.0000
In 0.8750 0.7080 0.7500
In 0.4580 0.1250 0.2500
Ba 0.7500 0.2500 0.5000
Zn 0.2500 0.7500 0.5000

- Size of the total moment: 0.0 μB/cell
- D(E_F): 3.633 states/eV/cell
- Theoretical density: 5.11 g cm⁻³
- Space group: I-42d
- Calculated volume: 35.13 A^3/atom
- ΔH_f (0 K): -0.124 eV per atom